Record 1
{
  "formula": "TeMoPt2",
  "functional": "PBEsol",
  "state": "optimized geometry",
  "cell": [[-2.713, -2.652, -0.867], [2.778, -2.453, -1.188], [0.295, -1.618, 4.031]],
  "species": ["Mo", "Pt", "Pt", "Te"],
  "frac_coords": [[0.000, 0.000, 0.500], [0.000, 0.500, 0.000], [0.500, 0.000, 0.000], [0.500, 0.500, 0.500]],
  "spacegroup": "P4/mmm (123)",
  "formation_energy_uncorrected_mev_per_atom": 171
}


Record 2
{
  "formula": "KSrCo2",
  "functional": "PBEsol",
  "state": "optimized geometry",
  "cell": [[-0.072, 3.150, 3.271], [-0.667, -3.114, 2.984], [4.313, -0.433, 0.512]],
  "species": ["Co", "Co", "K", "Sr"],
  "frac_coords": [[0.000, 0.000, 0.500], [0.000, 0.500, 0.000], [0.500, 0.500, 0.500], [0.500, 0.000, 0.000]],
  "spacegroup": "P4/mmm (123)",
  "delta_e_f_ev_per_atom": 1.2298
}


Record 3
{
  "formula": "RbTaCu2Te4",
  "functional": "PBEsol",
  "state": "optimized geometry",
  "cell": [[5.912, 0.000, 0.000], [0.000, 8.082, 0.000], [0.000, 0.000, 20.153]],
  "species": ["Rb", "Rb", "Rb", "Rb", "Ta", "Ta", "Ta", "Ta", "Cu", "Cu", "Cu", "Cu", "Cu", "Cu", "Cu", "Cu", "Te", "Te", "Te", "Te", "Te", "Te", "Te", "Te", "Te", "Te", "Te", "Te", "Te", "Te", "Te", "Te"],
  "frac_coords": [[0.741, 0.257, 0.064], [0.241, 0.243, 0.564], [0.241, 0.743, 0.936], [0.741, 0.757, 0.436], [0.499, 0.756, 0.146], [0.999, 0.744, 0.646], [0.999, 0.244, 0.854], [0.499, 0.256, 0.354], [0.500, 0.245, 0.855], [0.000, 0.255, 0.355], [0.991, 0.496, 0.751], [0.491, 0.504, 0.249], [0.500, 0.745, 0.645], [0.491, 0.004, 0.251], [0.991, 0.996, 0.749], [0.000, 0.755, 0.145], [0.243, 0.991, 0.356], [0.263, 0.746, 0.752], [0.263, 0.246, 0.748], [0.743, 0.509, 0.856], [0.743, 0.980, 0.854], [0.252, 0.741, 0.539], [0.763, 0.254, 0.248], [0.752, 0.759, 0.039], [0.743, 0.480, 0.646], [0.752, 0.259, 0.461], [0.243, 0.520, 0.354], [0.743, 0.009, 0.644], [0.252, 0.241, 0.961], [0.243, 0.491, 0.144], [0.763, 0.754, 0.252], [0.243, 0.020, 0.146]],
  "spacegroup": "Pna2_1 (33)",
  "formation_energy_uncorrected_mev_per_atom": -400
}


Record 4
{
  "formula": "MnZn2Ir",
  "functional": "PBEsol",
  "state": "optimized geometry",
  "cell": [[-1.549, 3.445, 0.415], [-2.136, -1.305, 2.859], [4.508, -0.161, 0.769]],
  "species": ["Zn", "Zn", "Ir", "Mn"],
  "frac_coords": [[0.750, 0.250, 0.500], [0.250, 0.750, 0.500], [0.500, 0.500, 0.000], [0.000, 0.000, 0.000]],
  "spacegroup": "I4/mmm (139)",
  "delta_e_f_ev_per_atom": -0.1377
}


Number 1: uncorrected energy -28.54 eV per cell. Number 2: uncorrected energy -13.53 eV per cell. Number 3: uncorrected energy -158.21 eV per cell. Number 4: uncorrected energy -23.30 eV per cell.